KWN2O PBE with a Hubbard U optimized geometry; SG = P4/mmm; DOS(E_F) = 2.42 states/eV/f.u.; E = -32.39 eV/cell
1.0
4.027 0.000 0.000
0.000 4.027 0.000
0.000 0.000 4.062
K W N O
1 1 2 1
Direct
0.000 0.000 0.000
0.500 0.500 0.500
0.000 0.500 0.500
0.500 0.000 0.500
0.500 0.500 0.000